A plane-wave DFT calculation with PBE-GGA was carried out for an optimized crystal structure of AlZnCu5.

Unit cell a=4.4374 b=4.4374 c=9.9771 alpha=90.00 beta=90.00 gamma=109.22
With the nearest neighbours (Å) after each atom.
Fractional coordinates of all 14 atoms:
Cu1 0.1410 0.5732 0.8865  2 Al 2.46-2.66, 6 Cu 2.47-2.72, 2 Zn 2.51-2.72
Cu2 0.1410 0.5732 0.6135  2 Al 2.46-2.66, 6 Cu 2.47-2.72, 2 Zn 2.51-2.72
Al1 0.0000 0.0000 0.5000  10 Cu 2.46-2.66
Zn1 0.6322 0.6322 0.7500  5 Cu 2.39-2.51
Cu3 0.5732 0.1410 0.6135  2 Al 2.46-2.66, 6 Cu 2.47-2.72, 2 Zn 2.51-2.72
Cu4 0.9037 0.9037 0.2500  1 Zn 2.39, 4 Cu 2.47, 2 Al 2.54
Cu5 0.8590 0.4268 0.1135  2 Al 2.46-2.66, 6 Cu 2.47-2.72, 2 Zn 2.51-2.72
Cu6 0.0963 0.0963 0.7500  1 Zn 2.39, 4 Cu 2.47, 2 Al 2.54
Cu7 0.4268 0.8590 0.1135  2 Al 2.46-2.66, 6 Cu 2.47-2.72, 2 Zn 2.51-2.72
Cu8 0.4268 0.8590 0.3865  2 Al 2.46-2.66, 6 Cu 2.47-2.72, 2 Zn 2.51-2.72
Zn2 0.3678 0.3678 0.2500  5 Cu 2.39-2.51
Cu9 0.8590 0.4268 0.3865  2 Al 2.46-2.66, 6 Cu 2.47-2.72, 2 Zn 2.51-2.72
Al2 0.0000 0.0000 0.0000  10 Cu 2.46-2.66
Cu10 0.5732 0.1410 0.8865  2 Al 2.46-2.66, 6 Cu 2.47-2.72, 2 Zn 2.51-2.72

M_tot (μB per atom): 0.00
Space-group type: Cmcm
Formation energy from the elements (eV/atom): -0.062
Calculated volume (Å³/atom): 13.250
Calculated density (g/cm³): 7.34
Crystal system: orthorhombic
DOS at the Fermi energy (states/eV per atom): 0.2373